No. 1
DFT (PBE) results for a relaxed Na3Tb3YSe8 crystal.

Cell lengths 8.2767, 8.2767, 21.1487 Å; angles 90.00, 90.00, 120.00 degrees
Space group R-3m (No. 166, hexagonal axes)
Symmetry-distinct sites (fractional):
Na  0.0000  0.5000  0.0000
Tb  0.0000  0.5000  0.5000
Y  0.0000  0.0000  0.5000
Se  0.0000  0.0000  0.2439
Se  0.0002  0.5001  0.2427

DOS(E_F) (states/eV per atom): 0.44
Magnetic moment (μB/atom): 0.000
ΔE_f (raw) (eV per atom): -1.63

---

No. 2
DFT (PBE) results for a relaxed NaTb2YSe4 crystal.

Cell lengths 7.140, 4.088, 7.142 Å; angles 90.00, 109.02, 90.00 degrees
Space group P2/m (No. 10)
Symmetry-distinct sites (fractional):
Na  0.000  0.000  0.000
Tb  0.500  0.000  0.500
Tb  0.500  0.500  0.000
Y  0.000  0.500  0.500
Se  0.249  0.000  0.750
Se  0.253  0.500  0.253

DOS(E_F) (states/eV per atom): 0.34
Magnetic moment (μB/atom): 0.000
ΔE_f (raw) (eV per atom): -1.74

---

No. 3
DFT (PBE) results for a relaxed NaTb3Y2Se6 crystal.

Cell lengths 17.909, 4.092, 8.243 Å; angles 90.00, 103.32, 90.00 degrees
Space group C2/m (No. 12)
Symmetry-distinct sites (fractional):
Na  0.000  0.000  0.000
Tb  0.000  0.000  0.500
Tb  0.164  0.500  0.826
Y  0.169  0.500  0.342
Se  0.002  0.500  0.252
Se  0.166  0.000  0.584
Se  0.168  0.000  0.084

DOS(E_F) (states/eV per atom): 0.33
Magnetic moment (μB/atom): 0.000
ΔE_f (raw) (eV per atom): -1.76

---

Q: Look up the DOS(E_F) of the third one.
A: 0.33 states/eV per atom

---

Q: What is the formula in the first record?
A: Na3Tb3YSe8

---

Q: What is the formula in the third record?
A: NaTb3Y2Se6